--- 1 ---
# NpB4

Crystalline NpB4 at its relaxed geometry (PBE-GGA, Alexandria via LeMat-Bulk).

Unit cell a=4.3421 b=4.3421 c=4.3421 alpha=90.00 beta=90.00 gamma=90.00
Atoms (fractional coordinates):
B1 0.5000 0.5000 0.0000
B2 0.0000 0.0000 0.0000
B3 0.0000 0.5000 0.5000
B4 0.5000 0.0000 0.5000
Np1 0.5000 0.5000 0.5000

Output
SG	Pm-3m
DOS at the Fermi energy	5.1	states/eV per cell
magnetic moment	0.00	μB/atom

=====

--- 2 ---
# NpB4

Crystalline NpB4 at its relaxed geometry (PBE-GGA, Alexandria via LeMat-Bulk).

Unit cell a=7.0638 b=7.0638 c=3.9872 alpha=90.00 beta=90.00 gamma=90.00
Atoms (fractional coordinates):
B1 0.0000 0.0000 0.2009
B2 0.9610 0.8219 0.5000
B3 0.8219 0.0390 0.5000
B4 0.4130 0.9130 0.5000
B5 0.5870 0.0870 0.5000
B6 0.6781 0.5390 0.5000
B7 0.0000 0.0000 0.7991
B8 0.9130 0.5870 0.5000
B9 0.0870 0.4130 0.5000
B10 0.0390 0.1781 0.5000
B11 0.5000 0.5000 0.7991
B12 0.4610 0.6781 0.5000
B13 0.5390 0.3219 0.5000
B14 0.5000 0.5000 0.2009
B15 0.3219 0.4610 0.5000
B16 0.1781 0.9610 0.5000
Np1 0.3121 0.1879 0.0000
Np2 0.6879 0.8121 0.0000
Np3 0.8121 0.3121 0.0000
Np4 0.1879 0.6879 0.0000

Output
SG	P4/mbm
DOS at the Fermi energy	23.2	states/eV per cell
magnetic moment	0.66	μB/atom

=====

Bottom line: 2, by a margin of 3.390 eV/atom.

=====

--- 1 ---
# NpBOs

Crystalline NpBOs at its relaxed geometry (PBE-GGA, Alexandria via LeMat-Bulk).

Unit cell a=3.9899 b=3.7433 c=3.7433 alpha=120.00 beta=90.00 gamma=90.00
Atoms (fractional coordinates):
B1 0.1667 0.6667 0.3333
Os1 0.1667 0.0000 0.0000
Np1 0.6667 0.3333 0.6667

Output
SG	P-6m2
DOS at the Fermi energy	6.4	states/eV per cell
magnetic moment	1.26	μB/atom

=====

--- 2 ---
# NpBOs

Crystalline NpBOs at its relaxed geometry (PBE-GGA, Alexandria via LeMat-Bulk).

Unit cell a=2.9150 b=2.9150 c=5.5544 alpha=105.21 beta=105.21 gamma=90.00
Atoms (fractional coordinates):
Os1 0.2859 0.2859 0.5719
B1 0.7070 0.7070 0.4141
Np1 0.0070 0.0070 0.0141

Output
SG	I4mm
DOS at the Fermi energy	4.0	states/eV per cell
magnetic moment	1.28	μB/atom

=====

Bottom line: 1, by a margin of 0.027 eV/atom.

=====

--- 1 ---
# NpB4Os

Crystalline NpB4Os at its relaxed geometry (PBE-GGA, Alexandria via LeMat-Bulk).

Unit cell a=3.5131 b=6.0029 c=11.6302 alpha=90.00 beta=90.00 gamma=90.00
Atoms (fractional coordinates):
Os1 0.0000 0.3617 0.9068
Os2 0.0000 0.1383 0.4068
Os3 0.0000 0.8617 0.5932
Os4 0.0000 0.6383 0.0932
B1 0.5000 0.1341 0.9684
B2 0.5000 0.7125 0.6878
B3 0.5000 0.6150 0.9533
B4 0.5000 0.1150 0.5467
B5 0.5000 0.8659 0.0316
B6 0.5000 0.7875 0.1878
B7 0.5000 0.3659 0.4684
B8 0.5000 0.3850 0.0467
B9 0.5000 0.9705 0.3081
B10 0.5000 0.2125 0.8122
B11 0.5000 0.4705 0.1919
B12 0.5000 0.6341 0.5316
B13 0.5000 0.8850 0.4533
B14 0.5000 0.2875 0.3122
B15 0.5000 0.0295 0.6919
B16 0.5000 0.5295 0.8081
Np1 0.0000 0.8732 0.8501
Np2 0.0000 0.6268 0.3501
Np3 0.0000 0.1268 0.1499
Np4 0.0000 0.3732 0.6499

Output
SG	Pbam
DOS at the Fermi energy	24.0	states/eV per cell
magnetic moment	0.53	μB/atom

=====

--- 2 ---
# NpB4Os

Crystalline NpB4Os at its relaxed geometry (PBE-GGA, Alexandria via LeMat-Bulk).

Unit cell a=4.4905 b=4.4905 c=4.4905 alpha=60.00 beta=60.00 gamma=60.00
Atoms (fractional coordinates):
Os1 0.2500 0.2500 0.2500
B1 0.5988 0.2036 0.5988
B2 0.5988 0.5988 0.5988
B3 0.5988 0.5988 0.2036
B4 0.2036 0.5988 0.5988
Np1 0.0000 0.0000 0.0000

Output
SG	F-43m
DOS at the Fermi energy	3.8	states/eV per cell
magnetic moment	0.00	μB/atom

=====

Bottom line: 1, by a margin of 1.193 eV/atom.

=====

--- 1 ---
# NpReB4

Crystalline NpReB4 at its relaxed geometry (PBE-GGA, Alexandria via LeMat-Bulk).

Unit cell a=4.4936 b=4.4936 c=4.4936 alpha=60.00 beta=60.00 gamma=60.00
Atoms (fractional coordinates):
B1 0.5996 0.5996 0.5996
B2 0.5996 0.2012 0.5996
B3 0.2012 0.5996 0.5996
B4 0.5996 0.5996 0.2012
Np1 0.0000 0.0000 0.0000
Re1 0.2500 0.2500 0.2500

Output
SG	F-43m
DOS at the Fermi energy	5.1	states/eV per cell
magnetic moment	0.16	μB/atom

=====

--- 2 ---
# NpReB4

Crystalline NpReB4 at its relaxed geometry (PBE-GGA, Alexandria via LeMat-Bulk).

Unit cell a=3.5915 b=5.9656 c=11.5482 alpha=90.00 beta=90.00 gamma=90.00
Atoms (fractional coordinates):
B1 0.5000 0.0264 0.6923
B2 0.5000 0.7893 0.1874
B3 0.5000 0.6341 0.5315
B4 0.5000 0.9736 0.3077
B5 0.5000 0.8855 0.4531
B6 0.5000 0.1145 0.5469
B7 0.5000 0.7107 0.6874
B8 0.5000 0.8659 0.0315
B9 0.5000 0.3659 0.4685
B10 0.5000 0.1341 0.9685
B11 0.5000 0.3855 0.0469
B12 0.5000 0.2893 0.3126
B13 0.5000 0.4736 0.1923
B14 0.5000 0.6145 0.9531
B15 0.5000 0.5264 0.8077
B16 0.5000 0.2107 0.8126
Re1 0.0000 0.1382 0.4073
Re2 0.0000 0.3618 0.9073
Re3 0.0000 0.8618 0.5927
Re4 0.0000 0.6382 0.0927
Np1 0.0000 0.3732 0.6502
Np2 0.0000 0.1268 0.1502
Np3 0.0000 0.6268 0.3498
Np4 0.0000 0.8732 0.8498

Output
SG	Pbam
DOS at the Fermi energy	26.9	states/eV per cell
magnetic moment	0.47	μB/atom

=====

Bottom line: 2, by a margin of 1.164 eV/atom.

=====

--- 1 ---
# Np2BRh6

Crystalline Np2BRh6 at its relaxed geometry (PBE-GGA, Alexandria via LeMat-Bulk).

Unit cell a=5.8253 b=5.8253 c=5.8250 alpha=59.99 beta=59.99 gamma=59.99
Atoms (fractional coordinates):
Rh1 0.7558 0.2439 0.7561
Rh2 0.2442 0.7561 0.2439
Rh3 0.2440 0.2440 0.7555
Rh4 0.2439 0.7558 0.7561
Rh5 0.7560 0.7560 0.2445
Rh6 0.7561 0.2442 0.2439
Np1 0.7500 0.7500 0.7502
Np2 0.2500 0.2500 0.2498
B1 0.5000 0.5000 0.5000

Output
SG	Fm-3m
DOS at the Fermi energy	25.4	states/eV per cell
magnetic moment	0.45	μB/atom

=====

--- 2 ---
# Np2BRh6

Crystalline Np2BRh6 at its relaxed geometry (PBE-GGA, Alexandria via LeMat-Bulk).

Unit cell a=3.6032 b=6.6688 c=7.3363 alpha=117.03 beta=104.21 gamma=90.00
Atoms (fractional coordinates):
Np1 0.3540 0.3537 0.7074
Np2 0.6460 0.6463 0.2926
Rh1 0.1628 0.3734 0.3260
Rh2 0.1628 0.9525 0.3260
Rh3 0.8372 0.0475 0.6740
Rh4 0.5000 0.1999 0.0000
Rh5 0.8372 0.6266 0.6740
Rh6 0.5000 0.8001 0.0000
B1 0.0000 0.0000 0.0000

Output
SG	Immm
DOS at the Fermi energy	13.2	states/eV per cell
magnetic moment	0.50	μB/atom

=====

Bottom line: 1, by a margin of 0.304 eV/atom.

=====

--- 1 ---
# NpB2Ru

Crystalline NpB2Ru at its relaxed geometry (PBE-GGA, Alexandria via LeMat-Bulk).

Unit cell a=3.2147 b=3.2147 c=6.0338 alpha=74.55 beta=74.55 gamma=60.00
Atoms (fractional coordinates):
Ru1 0.0000 0.0000 0.0000
Np1 0.5000 0.5000 0.5000
B1 0.2671 0.2671 0.1988
B2 0.7329 0.7329 0.8012

Output
SG	R-3m
DOS at the Fermi energy	3.9	states/eV per cell
magnetic moment	0.77	μB/atom

=====

--- 2 ---
# NpB2Ru

Crystalline NpB2Ru at its relaxed geometry (PBE-GGA, Alexandria via LeMat-Bulk).

Unit cell a=5.3731 b=5.7043 c=6.4243 alpha=90.00 beta=90.00 gamma=90.00
Atoms (fractional coordinates):
B1 0.0863 0.3684 0.4614
B2 0.9137 0.6316 0.5386
B3 0.9137 0.1316 0.9614
B4 0.4137 0.8684 0.0386
B5 0.5863 0.1316 0.9614
B6 0.4137 0.3684 0.4614
B7 0.0863 0.8684 0.0386
B8 0.5863 0.6316 0.5386
Np1 0.2500 0.4977 0.8353
Np2 0.7500 0.5023 0.1647
Np3 0.2500 0.9977 0.6647
Np4 0.7500 0.0023 0.3353
Ru1 0.7500 0.8071 0.8198
Ru2 0.2500 0.6929 0.3198
Ru3 0.7500 0.3071 0.6802
Ru4 0.2500 0.1929 0.1802

Output
SG	Pnma
DOS at the Fermi energy	21.7	states/eV per cell
magnetic moment	0.77	μB/atom

=====

Bottom line: 2, by a margin of 0.461 eV/atom.

=====

--- 1 ---
# TbNpB4

Crystalline TbNpB4 at its relaxed geometry (PBE-GGA, Alexandria via LeMat-Bulk).

Unit cell a=4.7433 b=4.7433 c=4.7433 alpha=60.00 beta=60.00 gamma=60.00
Atoms (fractional coordinates):
Tb1 0.2500 0.2500 0.2500
B1 0.0289 0.6570 0.6570
B2 0.6570 0.6570 0.0289
B3 0.6570 0.0289 0.6570
B4 0.6570 0.6570 0.6570
Np1 0.0000 0.0000 0.0000

Output
SG	F-43m
DOS at the Fermi energy	13.5	states/eV per cell
magnetic moment	0.52	μB/atom

=====

--- 2 ---
# TbNpB4

Crystalline TbNpB4 at its relaxed geometry (PBE-GGA, Alexandria via LeMat-Bulk).

Unit cell a=3.9829 b=6.1197 c=11.9432 alpha=90.00 beta=90.00 gamma=90.00
Atoms (fractional coordinates):
B1 0.5000 0.1282 0.5544
B2 0.5000 0.6292 0.5313
B3 0.5000 0.4816 0.1947
B4 0.5000 0.8708 0.0313
B5 0.5000 0.1292 0.9687
B6 0.5000 0.7960 0.1870
B7 0.5000 0.2040 0.8130
B8 0.5000 0.2960 0.3130
B9 0.5000 0.5184 0.8053
B10 0.5000 0.3708 0.4687
B11 0.5000 0.7040 0.6870
B12 0.5000 0.8718 0.4456
B13 0.5000 0.0184 0.6947
B14 0.5000 0.6282 0.9456
B15 0.5000 0.9816 0.3053
B16 0.5000 0.3718 0.0544
Np1 0.0000 0.6205 0.0752
Np2 0.0000 0.8795 0.5752
Np3 0.0000 0.1205 0.4248
Np4 0.0000 0.3795 0.9248
Tb1 0.0000 0.1191 0.1585
Tb2 0.0000 0.3809 0.6585
Tb3 0.0000 0.8809 0.8415
Tb4 0.0000 0.6191 0.3415

Output
SG	Pbam
DOS at the Fermi energy	21.6	states/eV per cell
magnetic moment	0.25	μB/atom

=====

Bottom line: 2, by a margin of 0.663 eV/atom.

=====

--- 1 ---
# NpUB4

Crystalline NpUB4 at its relaxed geometry (PBE-GGA, Alexandria via LeMat-Bulk).

Unit cell a=4.5711 b=4.5711 c=4.5711 alpha=60.00 beta=60.00 gamma=60.00
Atoms (fractional coordinates):
B1 0.2095 0.5968 0.5968
B2 0.5968 0.5968 0.2095
B3 0.5968 0.5968 0.5968
B4 0.5968 0.2095 0.5968
U1 0.0000 0.0000 0.0000
Np1 0.2500 0.2500 0.2500

Output
SG	F-43m
DOS at the Fermi energy	4.2	states/eV per cell
magnetic moment	0.60	μB/atom

=====

--- 2 ---
# NpUB4

Crystalline NpUB4 at its relaxed geometry (PBE-GGA, Alexandria via LeMat-Bulk).

Unit cell a=4.0657 b=5.8562 c=11.2612 alpha=90.00 beta=90.00 gamma=90.00
Atoms (fractional coordinates):
Np1 0.0000 0.8720 0.5832
Np2 0.0000 0.6280 0.0832
Np3 0.0000 0.3720 0.9168
Np4 0.0000 0.1280 0.4168
B1 0.5000 0.7896 0.1882
B2 0.5000 0.3721 0.0540
B3 0.5000 0.4777 0.1969
B4 0.5000 0.8721 0.4460
B5 0.5000 0.1279 0.5540
B6 0.5000 0.6300 0.5310
B7 0.5000 0.5223 0.8031
B8 0.5000 0.2104 0.8118
B9 0.5000 0.3700 0.4690
B10 0.5000 0.8700 0.0310
B11 0.5000 0.7104 0.6882
B12 0.5000 0.6279 0.9460
B13 0.5000 0.2896 0.3118
B14 0.5000 0.0223 0.6969
B15 0.5000 0.9777 0.3031
B16 0.5000 0.1300 0.9690
U1 0.0000 0.8997 0.8461
U2 0.0000 0.6003 0.3461
U3 0.0000 0.1003 0.1539
U4 0.0000 0.3997 0.6539

Output
SG	Pbam
DOS at the Fermi energy	26.0	states/eV per cell
magnetic moment	0.14	μB/atom

=====

Bottom line: 2, by a margin of 0.392 eV/atom.